# PuFeBi

Crystalline PuFeBi at its relaxed geometry (PBE, the Alexandria database).

POSCAR file:
```
PuFeBi
1.0
6.4892 0.0000 0.0000
-3.2446 5.6198 0.0000
0.0000 0.0000 11.2897
Pu Fe Bi
6 6 6
direct
0.0000 0.5000 0.3800
0.0000 0.5000 0.9534
0.5000 0.0000 0.2867
0.5000 0.0000 0.7133
0.5000 0.5000 0.0466
0.5000 0.5000 0.6200
0.2262 0.6131 0.1667
0.3869 0.6131 0.8333
0.3869 0.7738 0.5000
0.6131 0.2262 0.5000
0.6131 0.3869 0.8333
0.7738 0.3869 0.1667
0.0000 0.0000 0.1667
0.0000 0.0000 0.5000
0.0000 0.0000 0.8333
0.0000 0.5000 0.6667
0.5000 0.0000 0.0000
0.5000 0.5000 0.3333
```

Results
Magnetization: 3.45 μB per formula unit
Crystal system: hexagonal
SG: No. 180
ΔH_f (0 K): 79.1 meV per atom


# Rb2Fe2Bi

Crystalline Rb2Fe2Bi at its relaxed geometry (PBE, the Alexandria database).

POSCAR file:
```
Rb2Fe2Bi
1.0
-2.4054 2.4054 6.9288
2.4054 -2.4054 6.9288
2.4054 2.4054 -6.9288
Rb Fe Bi
2 2 1
direct
0.2500 0.7500 0.5000
0.7500 0.2500 0.5000
0.0734 0.0734 0.0000
0.9266 0.9266 0.0000
0.5000 0.5000 0.0000
```

Results
Magnetization: 7.38 μB per formula unit
Crystal system: tetragonal
SG: No. 139
ΔH_f (0 K): 1048.0 meV per atom
Distance to the lowest polymorph of the same formula: 0.367 eV/atom


# RbFe2Bi

Crystalline RbFe2Bi at its relaxed geometry (PBE, the Alexandria database).

POSCAR file:
```
RbFe2Bi
1.0
-2.5677 2.5677 9.3191
2.5677 -2.5677 9.3191
2.5677 2.5677 -9.3191
Rb Fe Bi
2 4 2
direct
0.3750 0.6250 0.7500
0.6250 0.3750 0.2500
0.0000 0.0000 0.0000
0.0000 0.0000 0.5000
0.0000 0.5000 0.0000
0.5000 0.0000 0.5000
0.1250 0.8750 0.2500
0.8750 0.1250 0.7500
```

Results
Magnetization: 5.62 μB per formula unit
Crystal system: tetragonal
SG: No. 141
ΔH_f (0 K): 783.8 meV per atom


# Rb2Fe2Bi

Crystalline Rb2Fe2Bi at its relaxed geometry (PBE, the Alexandria database).

POSCAR file:
```
Rb2Fe2Bi
1.0
10.0037 0.0000 0.0000
0.0000 10.0037 0.0000
0.0000 0.0000 3.3119
Rb Fe Bi
4 4 2
direct
0.2090 0.2910 0.0000
0.2910 0.7910 0.0000
0.7090 0.2090 0.0000
0.7910 0.7090 0.0000
0.0742 0.5742 0.5000
0.4258 0.0742 0.5000
0.5742 0.9258 0.5000
0.9258 0.4258 0.5000
0.0000 0.0000 0.5000
0.5000 0.5000 0.5000
```

Results
Magnetization: 6.17 μB per formula unit
Crystal system: tetragonal
SG: No. 127
ΔH_f (0 K): 922.5 meV per atom
Distance to the lowest polymorph of the same formula: 0.241 eV/atom


# Rb3FeBi

Crystalline Rb3FeBi at its relaxed geometry (PBE, the Alexandria database).

POSCAR file:
```
Rb3FeBi
1.0
7.1623 0.0000 0.0000
0.0000 7.1623 0.0000
0.0000 0.0000 7.1623
Rb Fe Bi
3 1 1
direct
0.0000 0.0000 0.5000
0.0000 0.5000 0.0000
0.5000 0.0000 0.0000
0.5000 0.5000 0.5000
0.0000 0.0000 0.0000
```

Results
Magnetization: 4.00 μB per formula unit
Crystal system: cubic
SG: No. 221
ΔH_f (0 K): 678.9 meV per atom
Distance to the lowest polymorph of the same formula: 0.000 eV/atom


# Rb2Fe2Bi

Crystalline Rb2Fe2Bi at its relaxed geometry (PBE, the Alexandria database).

POSCAR file:
```
Rb2Fe2Bi
1.0
10.2129 0.0000 0.0000
0.0000 10.2129 0.0000
0.0000 0.0000 3.1812
Rb Fe Bi
4 4 2
direct
0.1383 0.3617 0.0000
0.3617 0.8617 0.0000
0.6383 0.1383 0.0000
0.8617 0.6383 0.0000
0.1660 0.6660 0.5000
0.3340 0.1660 0.5000
0.6660 0.8340 0.5000
0.8340 0.3340 0.5000
0.0000 0.0000 0.0000
0.5000 0.5000 0.0000
```

Results
Magnetization: 6.30 μB per formula unit
Crystal system: tetragonal
SG: No. 127
ΔH_f (0 K): 1324.3 meV per atom
Distance to the lowest polymorph of the same formula: 0.643 eV/atom